Entry 1:
A relaxed Ta2HgSe crystal. Source: the Alexandria database, functional GGA-PBEsol. Values from VASP.

Cell and atoms, written as Quantum ESPRESSO input:
```
&SYSTEM
  ibrav = 0, nat = 4, ntyp = 3
/
ATOMIC_SPECIES
Ta 180.95 Ta.upf
Hg 200.59 Hg.upf
Se 78.96 Se.upf
ATOMIC_POSITIONS crystal
Ta 0.7500 0.2500 0.5000
Ta 0.0000 0.0000 0.0000
Hg 0.5000 0.5000 0.0000
Se 0.2500 0.7500 0.5000
CELL_PARAMETERS angstrom
-0.0309 -2.5015 -3.1141
-1.2842 -2.9426 2.3765
-3.6444 3.8816 -0.5200
```

Summary:
* calculated volume: 72.5 Å³ per cell
* formation energy without anion corrections: 43 kJ per mole of atoms
* relative energy among the computed polymorphs: 484.6 meV/atom
* space group: I-4m2, No. 119


Entry 2:
A relaxed SrTl2Sb2 crystal. Source: the Alexandria database, functional GGA-PBEsol. Values from VASP.

Cell and atoms, written as Quantum ESPRESSO input:
```
&SYSTEM
  ibrav = 0, nat = 5, ntyp = 3
/
ATOMIC_SPECIES
Tl 204.38 Tl.upf
Sr 87.62 Sr.upf
Sb 121.76 Sb.upf
ATOMIC_POSITIONS crystal
Tl 0.2500 0.7500 0.5000
Tl 0.7500 0.2500 0.5000
Sr 0.0000 0.0000 0.0000
Sb 0.4056 0.4056 0.8113
Sb 0.5944 0.5944 0.1887
CELL_PARAMETERS angstrom
-0.6648 -2.8488 3.5320
-1.7956 -3.1132 -2.8490
8.1685 -0.0090 -1.4472
```

Summary:
* calculated volume: 160.6 Å³ per cell
* formation energy without anion corrections: -33 kJ per mole of atoms
* space group: I4/mmm, No. 139


Entry 3:
A relaxed Ca2ZrTiGe2O10 crystal. Source: the Alexandria database, functional GGA-PBEsol. Values from VASP.

Cell and atoms, written as Quantum ESPRESSO input:
```
&SYSTEM
  ibrav = 0, nat = 16, ntyp = 5
/
ATOMIC_SPECIES
O 16.00 O.upf
Ca 40.08 Ca.upf
Ge 72.64 Ge.upf
Zr 91.22 Zr.upf
Ti 47.87 Ti.upf
ATOMIC_POSITIONS crystal
O 0.4267 0.8250 0.1232
O 0.2120 0.1245 0.3892
O 0.5733 0.1750 0.8768
O 0.1822 0.6145 0.3910
O 0.8178 0.3855 0.6090
O 0.4050 0.5567 0.7601
O 0.7880 0.8755 0.6108
O 0.8830 0.7295 0.0456
O 0.5950 0.4433 0.2399
O 0.1170 0.2705 0.9544
Ca 0.1635 0.8209 0.7962
Ca 0.8365 0.1791 0.2038
Ge 0.8246 0.1872 0.7544
Ge 0.1754 0.8128 0.2456
Zr 0.5000 0.5000 0.5000
Ti 0.5000 0.5000 0.0000
CELL_PARAMETERS angstrom
5.4537 -0.0978 0.0786
-1.6004 5.4951 -0.0505
-1.5943 -2.3768 6.7316
```

Summary:
* calculated volume: 201.0 Å³ per cell
* formation energy without anion corrections: -262 kJ per mole of atoms
* space group: P-1, No. 2


Entry 4:
A relaxed BaZnTe2 crystal. Source: the Alexandria database, functional GGA-PBEsol. Values from VASP.

Cell and atoms, written as Quantum ESPRESSO input:
```
&SYSTEM
  ibrav = 0, nat = 4, ntyp = 3
/
ATOMIC_SPECIES
Te 127.60 Te.upf
Zn 65.41 Zn.upf
Ba 137.33 Ba.upf
ATOMIC_POSITIONS crystal
Te 0.5000 0.5000 0.3734
Te 0.0000 0.0000 0.9851
Zn 0.0000 0.0000 0.3247
Ba 0.5000 0.5000 0.8169
CELL_PARAMETERS angstrom
4.2830 0.0000 0.0000
0.0000 4.2830 0.0000
0.0000 0.0000 7.6348
```

Summary:
* calculated volume: 140.1 Å³ per cell
* formation energy without anion corrections: -66 kJ per mole of atoms
* space group: P4mm, No. 99


Entry 5:
A relaxed LiPb3 crystal. Source: the Alexandria database, functional GGA-PBEsol. Values from VASP.

Cell and atoms, written as Quantum ESPRESSO input:
```
&SYSTEM
  ibrav = 0, nat = 4, ntyp = 2
/
ATOMIC_SPECIES
Pb 207.20 Pb.upf
Li 6.94 Li.upf
ATOMIC_POSITIONS crystal
Pb 0.4990 0.5000 0.2346
Pb 0.0000 0.0000 0.5000
Pb 0.5010 0.5000 0.7654
Li 0.0000 0.0000 0.0000
CELL_PARAMETERS angstrom
3.4532 0.0000 0.1063
0.0000 4.5863 0.0000
-0.2270 0.0000 6.8263
```

Summary:
* calculated volume: 108.2 Å³ per cell
* energy of formation from the pure elements: -0.11 eV/atom
* space group: P2/m, No. 10


Entry 6:
A relaxed MgZnMoIr2 crystal. Source: the Alexandria database, functional GGA-PBEsol. Values from VASP.

Cell and atoms, written as Quantum ESPRESSO input:
```
&SYSTEM
  ibrav = 0, nat = 5, ntyp = 4
/
ATOMIC_SPECIES
Zn 65.41 Zn.upf
Ir 192.22 Ir.upf
Mg 24.30 Mg.upf
Mo 95.94 Mo.upf
ATOMIC_POSITIONS crystal
Zn 0.0000 0.0000 0.5000
Ir 0.5000 0.0000 0.0000
Ir 0.0000 0.5000 0.0000
Mg 0.5000 0.5000 0.5000
Mo 0.0000 0.0000 0.0000
CELL_PARAMETERS angstrom
4.6614 0.0000 0.0000
0.0000 4.6614 0.0000
0.0000 0.0000 4.7652
```

Summary:
* calculated volume: 103.5 Å³ per cell
* energy of formation from the pure elements: 1.10 eV/atom
* space group: P4/mmm, No. 123


Entry 7:
A relaxed HfAuN2F crystal. Source: the Alexandria database, functional GGA-PBEsol. Values from VASP.

Cell and atoms, written as Quantum ESPRESSO input:
```
&SYSTEM
  ibrav = 0, nat = 5, ntyp = 4
/
ATOMIC_SPECIES
F 19.00 F.upf
Hf 178.49 Hf.upf
N 14.01 N.upf
Au 196.97 Au.upf
ATOMIC_POSITIONS crystal
F 0.5000 0.0000 0.0000
Hf 0.5000 0.5000 0.5000
N 0.0000 0.5000 0.0000
N 0.0000 0.0000 0.5000
Au 0.0000 0.0000 0.0000
CELL_PARAMETERS angstrom
-0.4321 -3.4105 -2.0707
-0.2864 -2.0452 3.4283
-3.9687 0.5169 -0.0232
```

Summary:
* calculated volume: 64.3 Å³ per cell
* formation energy without anion corrections: 61 kJ per mole of atoms
* space group: P4/mmm, No. 123


Entry 8:
A relaxed CaTa2B2 crystal. Source: the Alexandria database, functional GGA-PBEsol. Values from VASP.

Cell and atoms, written as Quantum ESPRESSO input:
```
&SYSTEM
  ibrav = 0, nat = 5, ntyp = 3
/
ATOMIC_SPECIES
B 10.81 B.upf
Ta 180.95 Ta.upf
Ca 40.08 Ca.upf
ATOMIC_POSITIONS crystal
B 0.2500 0.7500 0.5000
B 0.7500 0.2500 0.5000
Ta 0.6796 0.6796 0.3593
Ta 0.3204 0.3204 0.6407
Ca 0.0000 0.0000 0.0000
CELL_PARAMETERS angstrom
-2.9829 -2.5451 1.5707
2.7794 -1.5398 2.7833
-1.1021 5.3114 0.8336
```

Summary:
* calculated volume: 82.2 Å³ per cell
* energy of formation from the pure elements: 0.06 eV/atom
* space group: I4/mmm, No. 139


Entry 9:
A relaxed KCaHg2 crystal. Source: the Alexandria database, functional GGA-PBEsol. Values from VASP.

Cell and atoms, written as Quantum ESPRESSO input:
```
&SYSTEM
  ibrav = 0, nat = 4, ntyp = 3
/
ATOMIC_SPECIES
Ca 40.08 Ca.upf
K 39.10 K.upf
Hg 200.59 Hg.upf
ATOMIC_POSITIONS crystal
Ca 0.5000 0.5000 0.8379
K 0.0000 0.0000 0.4448
Hg 0.0000 0.0000 0.0099
Hg 0.5000 0.5000 0.2075
CELL_PARAMETERS angstrom
3.9308 0.0000 0.0000
0.0000 3.9308 0.0000
0.0000 0.0000 8.2942
```

Summary:
* calculated volume: 128.2 Å³ per cell
* energy of formation from the pure elements: -0.25 eV/atom
* relative energy among the computed polymorphs: 98.6 meV/atom
* space group: P4mm, No. 99


Entry 10:
A relaxed Cr4ReBr crystal. Source: the Alexandria database, functional GGA-PBEsol. Values from VASP.

Cell and atoms, written as Quantum ESPRESSO input:
```
&SYSTEM
  ibrav = 0, nat = 6, ntyp = 3
/
ATOMIC_SPECIES
Cr 52.00 Cr.upf
Re 186.21 Re.upf
Br 79.90 Br.upf
ATOMIC_POSITIONS crystal
Cr 0.3747 0.3747 0.8760
Cr 0.3747 0.8760 0.3747
Cr 0.8760 0.3747 0.3747
Cr 0.3747 0.3747 0.3747
Re 0.7500 0.7500 0.7500
Br 0.0000 0.0000 0.0000
CELL_PARAMETERS angstrom
-1.6562 -2.1520 -3.9475
-3.8247 -2.8739 0.2636
-4.1709 1.3815 -1.9109
```

Summary:
* calculated volume: 77.8 Å³ per cell
* formation energy without anion corrections: 79 kJ per mole of atoms
* space group: F-43m, No. 216


Entry 11:
A relaxed Re2Ag crystal. Source: the Alexandria database, functional GGA-PBEsol. Values from VASP.

Cell and atoms, written as Quantum ESPRESSO input:
```
&SYSTEM
  ibrav = 0, nat = 3, ntyp = 2
/
ATOMIC_SPECIES
Re 186.21 Re.upf
Ag 107.87 Ag.upf
ATOMIC_POSITIONS crystal
Re 0.3849 0.3333 0.6667
Re 0.6151 0.6667 0.3333
Ag 0.0000 0.0000 0.0000
CELL_PARAMETERS angstrom
2.6491 0.0000 0.0000
0.0000 4.4568 0.0000
0.0000 -2.2284 3.8597
```

Summary:
* calculated volume: 45.6 Å³ per cell
* energy of formation from the pure elements: 0.54 eV/atom
* space group: P-3m1, No. 164


Entry 12:
A relaxed Li3GaPt crystal. Source: the Alexandria database, functional GGA-PBEsol. Values from VASP.

Cell and atoms, written as Quantum ESPRESSO input:
```
&SYSTEM
  ibrav = 0, nat = 5, ntyp = 3
/
ATOMIC_SPECIES
Li 6.94 Li.upf
Ga 69.72 Ga.upf
Pt 195.08 Pt.upf
ATOMIC_POSITIONS crystal
Li 0.5000 0.0000 0.0000
Li 0.0000 0.5000 0.0000
Li 0.0000 0.0000 0.5000
Ga 0.0000 0.0000 0.0000
Pt 0.5000 0.5000 0.5000
CELL_PARAMETERS angstrom
4.3944 0.0000 0.0000
0.0000 4.3944 0.0000
0.0000 0.0000 4.3944
```

Summary:
* calculated volume: 84.9 Å³ per cell
* energy of formation from the pure elements: 0.47 eV/atom
* space group: Pm-3m, No. 221


Entry 13:
A relaxed CaScSn2As crystal. Source: the Alexandria database, functional GGA-PBEsol. Values from VASP.

Cell and atoms, written as Quantum ESPRESSO input:
```
&SYSTEM
  ibrav = 0, nat = 5, ntyp = 4
/
ATOMIC_SPECIES
Ca 40.08 Ca.upf
Sc 44.96 Sc.upf
Sn 118.71 Sn.upf
As 74.92 As.upf
ATOMIC_POSITIONS crystal
Ca 0.0000 0.0000 0.5000
Sc 0.0000 0.0000 0.0000
Sn 0.5000 0.0000 0.0000
Sn 0.0000 0.5000 0.0000
As 0.5000 0.5000 0.5000
CELL_PARAMETERS angstrom
5.3320 0.0000 0.0000
0.0000 5.3320 0.0000
0.0000 0.0000 5.5401
```

Summary:
* calculated volume: 157.5 Å³ per cell
* energy of formation from the pure elements: 0.56 eV/atom
* space group: P4/mmm, No. 123


Entry 14:
A relaxed Cd2InW crystal. Source: the Alexandria database, functional GGA-PBEsol. Values from VASP.

Cell and atoms, written as Quantum ESPRESSO input:
```
&SYSTEM
  ibrav = 0, nat = 4, ntyp = 3
/
ATOMIC_SPECIES
Cd 112.41 Cd.upf
W 183.84 W.upf
In 114.82 In.upf
ATOMIC_POSITIONS crystal
Cd 0.9914 0.9827 0.0120
Cd 0.7457 0.4913 0.2254
W 0.2554 0.5108 0.7253
In 0.5076 0.0152 0.5373
CELL_PARAMETERS angstrom
-2.6299 1.1917 -0.4652
-0.6451 -3.5190 3.8254
1.4496 4.2724 2.7494
```

Summary:
* calculated volume: 76.1 Å³ per cell
* energy of formation from the pure elements: 0.51 eV/atom
* space group: Cm, No. 8


Entry 15:
A relaxed ScHg crystal. Source: the Alexandria database, functional GGA-PBEsol. Values from VASP.

Cell and atoms, written as Quantum ESPRESSO input:
```
&SYSTEM
  ibrav = 0, nat = 24, ntyp = 2
/
ATOMIC_SPECIES
Hg 200.59 Hg.upf
Sc 44.96 Sc.upf
ATOMIC_POSITIONS crystal
Hg 0.7500 0.5468 0.5791
Hg 0.2500 0.4532 0.4209
Hg 0.7500 0.1127 0.8578
Hg 0.0000 0.7500 0.9077
Hg 0.2500 0.8873 0.1422
Hg 0.2500 0.3873 0.8578
Hg 0.7500 0.0468 0.4209
Hg 0.5000 0.7500 0.9077
Hg 0.2500 0.9532 0.5791
Hg 0.5000 0.2500 0.0923
Hg 0.0000 0.2500 0.0923
Hg 0.7500 0.6127 0.1422
Sc 0.7500 0.9525 0.1294
Sc 0.2500 0.0475 0.8706
Sc 0.2500 0.1315 0.3289
Sc 0.7500 0.8685 0.6711
Sc 0.5000 0.2500 0.6180
Sc 0.7500 0.3685 0.3289
Sc 0.5000 0.7500 0.3820
Sc 0.0000 0.2500 0.6180
Sc 0.2500 0.6315 0.6711
Sc 0.0000 0.7500 0.3820
Sc 0.2500 0.5475 0.1294
Sc 0.7500 0.4525 0.8706
CELL_PARAMETERS angstrom
-0.4918 5.7673 1.5139
-6.0023 1.0592 -5.9848
-7.0459 -2.3467 6.6511
```

Summary:
* calculated volume: 509.5 Å³ per cell
* energy of formation from the pure elements: -0.46 eV/atom
* space group: Pbcm, No. 57


Entry 16:
A relaxed Cs2KScI6 crystal. Source: the Alexandria database, functional GGA-PBEsol. Values from VASP.

Cell and atoms, written as Quantum ESPRESSO input:
```
&SYSTEM
  ibrav = 0, nat = 10, ntyp = 4
/
ATOMIC_SPECIES
Cs 132.91 Cs.upf
I 126.90 I.upf
K 39.10 K.upf
Sc 44.96 Sc.upf
ATOMIC_POSITIONS crystal
Cs 0.2500 0.2500 0.2500
Cs 0.7500 0.7500 0.7500
I 0.2327 0.7673 0.7673
I 0.2327 0.2327 0.7673
I 0.2327 0.7673 0.2327
I 0.7673 0.2327 0.2327
I 0.7673 0.7673 0.2327
I 0.7673 0.2327 0.7673
K 0.5000 0.5000 0.5000
Sc 0.0000 0.0000 0.0000
CELL_PARAMETERS angstrom
8.6480 0.0000 0.0000
4.3240 7.4894 0.0000
4.3240 2.4965 7.0611
```

Summary:
* calculated volume: 457.3 Å³ per cell
* formation energy without anion corrections: -134 kJ per mole of atoms
* space group: Fm-3m, No. 225


Entry 17:
A relaxed BaTaBe crystal. Source: the Alexandria database, functional GGA-PBEsol. Values from VASP.

Cell and atoms, written as Quantum ESPRESSO input:
```
&SYSTEM
  ibrav = 0, nat = 3, ntyp = 3
/
ATOMIC_SPECIES
Ba 137.33 Ba.upf
Ta 180.95 Ta.upf
Be 9.01 Be.upf
ATOMIC_POSITIONS crystal
Ba 0.0000 0.0000 0.0000
Ta 0.5000 0.6667 0.3333
Be 0.5000 0.3333 0.6667
CELL_PARAMETERS angstrom
3.1200 0.0000 0.0000
0.0000 4.8568 0.0000
0.0000 -2.4284 4.2061
```

Summary:
* calculated volume: 63.7 Å³ per cell
* energy of formation from the pure elements: 1.21 eV/atom
* space group: P-6m2, No. 187


Entry 18:
A relaxed Ti3Cr2SbP6O24 crystal. Source: the Alexandria database, functional GGA-PBEsol. Values from VASP.

Cell and atoms, written as Quantum ESPRESSO input:
```
&SYSTEM
  ibrav = 0, nat = 36, ntyp = 5
/
ATOMIC_SPECIES
P 30.97 P.upf
O 16.00 O.upf
Cr 52.00 Cr.upf
Ti 47.87 Ti.upf
Sb 121.76 Sb.upf
ATOMIC_POSITIONS crystal
P 0.7507 0.0655 0.4412
P 0.2535 0.9474 0.5429
P 0.9474 0.5429 0.2535
P 0.0655 0.4412 0.7507
P 0.5429 0.2535 0.9474
P 0.4412 0.7507 0.0655
O 0.5896 0.2553 0.4071
O 0.9816 0.3816 0.1916
O 0.5677 0.4143 0.7549
O 0.9434 0.7372 0.0926
O 0.2480 0.9082 0.0569
O 0.4071 0.5896 0.2553
O 0.1087 0.4895 0.3243
O 0.0733 0.5741 0.8189
O 0.4895 0.3243 0.1087
O 0.0569 0.2480 0.9082
O 0.7372 0.0926 0.9434
O 0.3243 0.1087 0.4895
O 0.8919 0.5201 0.6857
O 0.5741 0.8189 0.0733
O 0.7549 0.5677 0.4143
O 0.0926 0.9434 0.7372
O 0.4143 0.7549 0.5677
O 0.1916 0.9816 0.3816
O 0.9082 0.0569 0.2480
O 0.5201 0.6857 0.8919
O 0.6857 0.8919 0.5201
O 0.3816 0.1916 0.9816
O 0.8189 0.0733 0.5741
O 0.2553 0.4071 0.5896
Cr 0.4984 0.4984 0.4984
Cr 0.9982 0.9982 0.9982
Ti 0.1414 0.1414 0.1414
Ti 0.6490 0.6490 0.6490
Ti 0.3509 0.3509 0.3509
Sb 0.8444 0.8444 0.8444
CELL_PARAMETERS angstrom
8.4295 -0.1570 -0.1111
4.0575 7.3904 -0.1111
4.0575 2.3504 7.0076
```

Summary:
* calculated volume: 445.6 Å³ per cell
* formation energy without anion corrections: -215 kJ per mole of atoms
* space group: R3, No. 146


Entry 19:
A relaxed BePOsCl2 crystal. Source: the Alexandria database, functional GGA-PBEsol. Values from VASP.

Cell and atoms, written as Quantum ESPRESSO input:
```
&SYSTEM
  ibrav = 0, nat = 5, ntyp = 4
/
ATOMIC_SPECIES
Cl 35.45 Cl.upf
Be 9.01 Be.upf
P 30.97 P.upf
Os 190.23 Os.upf
ATOMIC_POSITIONS crystal
Cl 0.0000 0.0000 0.5000
Cl 0.0000 0.5000 0.0000
Be 0.5000 0.5000 0.5000
P 0.5000 0.0000 0.0000
Os 0.0000 0.0000 0.0000
CELL_PARAMETERS angstrom
4.4749 0.0000 0.0000
0.0000 4.8195 0.0000
0.0000 0.0000 4.8195
```

Summary:
* calculated volume: 103.9 Å³ per cell
* formation energy without anion corrections: 80 kJ per mole of atoms
* space group: P4/mmm, No. 123


Entry 20:
A relaxed YAl2Fe crystal. Source: the Alexandria database, functional GGA-PBEsol. Values from VASP.

Cell and atoms, written as Quantum ESPRESSO input:
```
&SYSTEM
  ibrav = 0, nat = 4, ntyp = 3
/
ATOMIC_SPECIES
Al 26.98 Al.upf
Fe 55.84 Fe.upf
Y 88.91 Y.upf
ATOMIC_POSITIONS crystal
Al 0.5000 0.5000 0.2915
Al 0.0000 0.0000 0.0515
Fe 0.0000 0.0000 0.4416
Y 0.5000 0.5000 0.7154
CELL_PARAMETERS angstrom
3.1235 0.0000 0.0000
0.0000 3.1235 0.0000
0.0000 0.0000 6.9097
```

Summary:
* calculated volume: 67.4 Å³ per cell
* energy of formation from the pure elements: -0.18 eV/atom
* space group: P4mm, No. 99